[1]
An optimized crystal structure of Pm2ReHg. Source: Alexandria, functional PBE-GGA.

Values from the calculation:
Calculated formation energy ... 0.7199 eV/atom
Space group ... R-3m (166)

a b c (Å): 3.1928 3.1928 11.3151
angles (deg): 81.89 81.89 60.00
Last column: nearest neighbours and their distance in Å.
Positions (direct):
Re 0.0000 0.0000 0.0000  2 Pm 2.75
Hg 0.5000 0.5000 0.5000  6 Hg 3.19, 6 Pm 3.38
Pm 0.0821 0.0821 0.7538  1 Re 2.75
Pm 0.9179 0.9179 0.2462  1 Re 2.75


[2]
An optimized crystal structure of KHoCd2Br8. Source: Alexandria, functional PBE-GGA.

Values from the calculation:
Space group ... P-1 (2)
Formation energy without anion corrections ... -1276 meV/atom

a b c (Å): 6.9427 6.5545 8.7425
angles (deg): 89.59 89.73 89.36
Last column: nearest neighbours and their distance in Å.
Positions (direct):
K 0.0000 0.0000 0.5000  6 Br 3.15-3.18
Ho 0.0000 0.0000 0.0000  6 Br 2.77-2.90
Cd 0.4985 0.4978 0.7483  6 Br 2.79-2.97
Cd 0.5015 0.5022 0.2517  6 Br 2.79-2.97
Br 0.1657 0.7494 0.2216  1 Ho 2.78, 1 Cd 2.84
Br 0.6646 0.7393 0.0001  1 Ho 2.90, 2 Cd 2.92-2.97
Br 0.8327 0.2483 0.2205  1 Ho 2.77, 1 Cd 2.84
Br 0.8343 0.2506 0.7784  1 Ho 2.78, 1 Cd 2.84
Br 0.3354 0.2607 0.9999  1 Ho 2.90, 2 Cd 2.92-2.97
Br 0.1673 0.7517 0.7795  1 Ho 2.77, 1 Cd 2.84
Br 0.6201 0.7339 0.5003  2 Cd 2.79
Br 0.3799 0.2661 0.4997  2 Cd 2.79


[3]
An optimized crystal structure of ErTe2PbO8. Source: Alexandria, functional PBE-GGA.

Values from the calculation:
Space group ... P-3m1 (164)
Formation energy without anion corrections ... -1390 meV/atom

a b c (Å): 6.0509 6.0509 7.2144
angles (deg): 90.00 90.00 120.00
Last column: nearest neighbours and their distance in Å.
Positions (direct):
Er 0.0000 0.0000 0.5000  6 O 2.23
Te 0.6667 0.3333 0.2218  4 O 1.83-1.90
Te 0.3333 0.6667 0.7782  4 O 1.83-1.90
Pb 0.0000 0.0000 0.0000  6 O 2.69
O 0.3333 0.6667 0.0318  1 Te 1.83
O 0.3168 0.1591 0.2934  1 Te 1.90
O 0.8409 0.1578 0.2934  1 Te 1.90
O 0.6667 0.3333 0.9682  1 Te 1.83
O 0.1591 0.8422 0.7066  1 Te 1.90
O 0.6832 0.8409 0.7066  1 Te 1.90
O 0.1578 0.3168 0.7066  1 Te 1.90
O 0.8422 0.6832 0.2934  1 Te 1.90


[4]
An optimized crystal structure of Nd3Ho8Th4. Source: Alexandria, functional PBE-GGA.

Values from the calculation:
Calculated formation energy ... 0.4206 eV/atom
Space group ... C2/m (12)

a b c (Å): 6.7439 9.2848 9.2848
angles (deg): 88.51 111.04 111.04
Last column: nearest neighbours and their distance in Å.
Positions (direct):
Nd 0.5000 0.5000 0.0000  6 Ho 3.24-3.62, 2 Th 3.37
Nd 0.5000 0.0000 0.5000  6 Ho 3.24-3.62, 2 Th 3.37
Nd 0.5000 0.5000 0.5000  6 Ho 3.17-3.29
Ho 0.5139 0.2588 0.2588  2 Ho 3.23-3.51, 3 Nd 3.24-3.26, 2 Th 3.40-3.45
Ho 0.0000 0.6438 0.3562  2 Th 3.60, 7 Ho 3.62-3.74, 4 Nd 3.62-3.85
Ho 0.9963 0.2616 0.2616  2 Ho 3.23-3.51, 4 Th 3.24-3.49, 1 Nd 3.29
Ho 0.5000 0.7445 0.2555  3 Nd 3.17-3.33, 3 Th 3.31-3.34
Ho 0.5000 0.2555 0.7445  3 Nd 3.17-3.33, 3 Th 3.31-3.34
Ho 0.0037 0.7384 0.7384  2 Ho 3.23-3.51, 4 Th 3.24-3.49, 1 Nd 3.29
Ho 0.0000 0.3562 0.6438  2 Th 3.60, 7 Ho 3.62-3.74, 4 Nd 3.62-3.85
Ho 0.4861 0.7412 0.7412  2 Ho 3.23-3.51, 3 Nd 3.24-3.26, 2 Th 3.40-3.45
Th 0.5000 0.0000 0.0000  6 Ho 3.31-3.41, 2 Th 3.37
Th 0.0000 0.5000 0.0000  6 Ho 3.24-3.60, 2 Nd 3.37
Th 0.0000 0.0000 0.0000  2 Th 3.37, 4 Ho 3.45-3.49
Th 0.0000 0.0000 0.5000  6 Ho 3.24-3.60, 2 Nd 3.37